1.
Material: CoW2
Method: DFT, PBE-GGA
State: optimized geometry

- ΔE_f: 0.90 eV/atom
- Offset from the most stable computed form: 2.690 eV per formula unit
- Raw total energy: -10.10 eV/atom
- SG: Pa-3, No. 205

Geometry as CIF:
```
data_CoW2
_chemical_formula_sum 'Co4 W8'
_space_group_name_H-M_alt 'P 1'
_space_group_IT_number 1
_space_group_name_Hall 'P 1'
_cell_length_a 5.754
_cell_length_b 5.754
_cell_length_c 5.754
_cell_angle_alpha 90.00
_cell_angle_beta 90.00
_cell_angle_gamma 90.00
loop_
_atom_site_label
_atom_site_fract_x
_atom_site_fract_y
_atom_site_fract_z
_atom_site_occupancy
Co1 0.000 0.000 0.000 1
Co2 0.000 0.500 0.500 1
Co3 0.500 0.000 0.500 1
Co4 0.500 0.500 0.000 1
W1 0.130 0.630 0.870 1
W2 0.130 0.870 0.370 1
W3 0.370 0.130 0.870 1
W4 0.370 0.370 0.370 1
W5 0.630 0.630 0.630 1
W6 0.630 0.870 0.130 1
W7 0.870 0.130 0.630 1
W8 0.870 0.370 0.130 1
```

---

2.
Material: Tb2LuRu
Method: DFT, PBE-GGA
State: optimized geometry

- ΔE_f: 0.13 eV/atom
- Offset from the most stable computed form: 1.129 eV per formula unit
- Raw total energy: -5.64 eV/atom
- SG: R-3m, No. 166

Geometry as CIF:
```
data_Tb2LuRu
_chemical_formula_sum 'Tb2 Lu1 Ru1'
_space_group_name_H-M_alt 'P 1'
_space_group_IT_number 1
_space_group_name_Hall 'P 1'
_cell_length_a 10.738
_cell_length_b 10.738
_cell_length_c 10.738
_cell_angle_alpha 18.67
_cell_angle_beta 18.67
_cell_angle_gamma 18.67
loop_
_atom_site_label
_atom_site_fract_x
_atom_site_fract_y
_atom_site_fract_z
_atom_site_occupancy
Tb1 0.106 0.106 0.106 1
Tb2 0.894 0.894 0.894 1
Lu1 0.000 0.000 0.000 1
Ru1 0.500 0.500 0.500 1
```

---

3.
Material: SnHgTeN2
Method: DFT, PBE-GGA
State: optimized geometry

- Formation energy without anion corrections: 1.183 eV/atom
- Offset from the most stable computed form: 0.000 eV per formula unit
- Raw total energy: -3.64 eV/atom
- SG: P4/mmm, No. 123

Geometry as CIF:
```
data_SnHgTeN2
_chemical_formula_sum 'Sn1 Hg1 Te1 N2'
_space_group_name_H-M_alt 'P 1'
_space_group_IT_number 1
_space_group_name_Hall 'P 1'
_cell_length_a 4.221
_cell_length_b 4.221
_cell_length_c 6.255
_cell_angle_alpha 90.00
_cell_angle_beta 90.00
_cell_angle_gamma 90.00
loop_
_atom_site_label
_atom_site_fract_x
_atom_site_fract_y
_atom_site_fract_z
_atom_site_occupancy
Sn1 0.000 0.000 0.000 1
Hg1 0.500 0.500 0.500 1
Te1 0.000 0.000 0.500 1
N1 0.000 0.500 0.000 1
N2 0.500 0.000 0.000 1
```

---

4.
Material: KSbCI2
Method: DFT, PBE-GGA
State: optimized geometry

- Formation energy without anion corrections: 0.500 eV/atom
- Offset from the most stable computed form: 0.000 eV per formula unit
- Raw total energy: -3.01 eV/atom
- SG: P4/mmm, No. 123

Geometry as CIF:
```
data_KSbCI2
_chemical_formula_sum 'K1 Sb1 C1 I2'
_space_group_name_H-M_alt 'P 1'
_space_group_IT_number 1
_space_group_name_Hall 'P 1'
_cell_length_a 5.892
_cell_length_b 5.892
_cell_length_c 4.455
_cell_angle_alpha 90.00
_cell_angle_beta 90.00
_cell_angle_gamma 90.00
loop_
_atom_site_label
_atom_site_fract_x
_atom_site_fract_y
_atom_site_fract_z
_atom_site_occupancy
K1 0.000 0.000 0.000 1
Sb1 0.500 0.500 0.000 1
C1 0.500 0.500 0.500 1
I1 0.000 0.500 0.500 1
I2 0.500 0.000 0.500 1
```

---

5.
Material: Ti5Si2Sb
Method: DFT, PBE-GGA
State: optimized geometry

- Formation energy without anion corrections: -0.696 eV/atom
- Raw total energy: -7.50 eV/atom
- SG: I4/mcm, No. 140

Geometry as CIF:
```
data_Ti5Si2Sb
_chemical_formula_sum 'Ti10 Si4 Sb2'
_space_group_name_H-M_alt 'P 1'
_space_group_IT_number 1
_space_group_name_Hall 'P 1'
_cell_length_a 7.644
_cell_length_b 7.644
_cell_length_c 7.644
_cell_angle_alpha 128.61
_cell_angle_beta 128.61
_cell_angle_gamma 75.64
loop_
_atom_site_label
_atom_site_fract_x
_atom_site_fract_y
_atom_site_fract_z
_atom_site_occupancy
Ti1 0.000 0.000 0.000 1
Ti2 0.022 0.522 0.827 1
Ti3 0.195 0.022 0.500 1
Ti4 0.305 0.805 0.827 1
Ti5 0.478 0.305 0.500 1
Ti6 0.500 0.500 0.000 1
Ti7 0.522 0.695 0.500 1
Ti8 0.695 0.195 0.173 1
Ti9 0.805 0.978 0.500 1
Ti10 0.978 0.478 0.173 1
Si1 0.132 0.368 0.500 1
Si2 0.368 0.868 0.236 1
Si3 0.632 0.132 0.764 1
Si4 0.868 0.632 0.500 1
Sb1 0.250 0.250 0.000 1
Sb2 0.750 0.750 0.000 1
```

---

6.
Material: KYCd2
Method: DFT, PBE-GGA
State: optimized geometry

- ΔE_f: 0.02 eV/atom
- Offset from the most stable computed form: 0.547 eV per formula unit
- Raw total energy: -2.33 eV/atom
- SG: R-3m, No. 166

Geometry as CIF:
```
data_KYCd2
_chemical_formula_sum 'K1 Y1 Cd2'
_space_group_name_H-M_alt 'P 1'
_space_group_IT_number 1
_space_group_name_Hall 'P 1'
_cell_length_a 10.797
_cell_length_b 10.797
_cell_length_c 10.797
_cell_angle_alpha 20.13
_cell_angle_beta 20.13
_cell_angle_gamma 20.13
loop_
_atom_site_label
_atom_site_fract_x
_atom_site_fract_y
_atom_site_fract_z
_atom_site_occupancy
K1 0.000 0.000 0.000 1
Y1 0.500 0.500 0.500 1
Cd1 0.240 0.240 0.240 1
Cd2 0.760 0.760 0.760 1
```

---

Please write out number 5 again, unchanged.
Material: Ti5Si2Sb
Method: DFT, PBE-GGA
State: optimized geometry

- Formation energy without anion corrections: -0.696 eV/atom
- Raw total energy: -7.50 eV/atom
- SG: I4/mcm, No. 140

Geometry as CIF:
```
data_Ti5Si2Sb
_chemical_formula_sum 'Ti10 Si4 Sb2'
_space_group_name_H-M_alt 'P 1'
_space_group_IT_number 1
_space_group_name_Hall 'P 1'
_cell_length_a 7.644
_cell_length_b 7.644
_cell_length_c 7.644
_cell_angle_alpha 128.61
_cell_angle_beta 128.61
_cell_angle_gamma 75.64
loop_
_atom_site_label
_atom_site_fract_x
_atom_site_fract_y
_atom_site_fract_z
_atom_site_occupancy
Ti1 0.000 0.000 0.000 1
Ti2 0.022 0.522 0.827 1
Ti3 0.195 0.022 0.500 1
Ti4 0.305 0.805 0.827 1
Ti5 0.478 0.305 0.500 1
Ti6 0.500 0.500 0.000 1
Ti7 0.522 0.695 0.500 1
Ti8 0.695 0.195 0.173 1
Ti9 0.805 0.978 0.500 1
Ti10 0.978 0.478 0.173 1
Si1 0.132 0.368 0.500 1
Si2 0.368 0.868 0.236 1
Si3 0.632 0.132 0.764 1
Si4 0.868 0.632 0.500 1
Sb1 0.250 0.250 0.000 1
Sb2 0.750 0.750 0.000 1
```